Entry from Alexandria via LeMat-Bulk: a relaxed TlInGa2Sn crystal (PBE-GGA).

Computed properties:
The calculation puts the energy of formation at 2.180 eV/f.u. The density of states at the Fermi level is 2.39 states/eV/f.u. The volume comes out at 165 Å³ per cell.

a b c (Å): 5.397 5.397 5.676
angles (deg): 90.00 90.00 90.00
Atoms (fractional coordinates):
Tl (0.000, 0.000, 0.000)
In (0.500, 0.500, 0.500)
Ga (0.000, 0.500, 0.500)
Ga (0.500, 0.000, 0.500)
Sn (0.500, 0.500, 0.000)